Record 1
# Cu4PdAu

A relaxed structure of Cu4PdAu (PBE, the Alexandria database).

- energy above the lowest structure with this stoichiometry (eV/f.u.) = 1.53
- formation enthalpy at 0 K (eV/atom) = 0.196

Cell lengths 6.804, 6.804, 6.781 Å; angles 90.00, 90.00, 144.11 degrees
Fractional coordinates of all 12 atoms:
Cu: 0.000 0.000 0.000
Cu: 0.000 0.000 0.500
Cu: 0.253 0.747 0.581
Cu: 0.253 0.747 0.919
Cu: 0.443 0.557 0.750
Cu: 0.557 0.443 0.250
Cu: 0.747 0.253 0.081
Cu: 0.747 0.253 0.419
Pd: 0.155 0.845 0.250
Pd: 0.845 0.155 0.750
Au: 0.367 0.633 0.250
Au: 0.633 0.367 0.750

Record 2
# MnNi2Rh4

A relaxed structure of MnNi2Rh4 (PBE, the Alexandria database).

- formation enthalpy at 0 K (eV/atom) = 0.138

Cell lengths 5.083, 5.083, 3.837 Å; angles 90.00, 90.00, 102.24 degrees
Fractional coordinates of all 7 atoms:
Mn: 0.000 0.000 0.000
Ni: 0.220 0.780 0.500
Ni: 0.780 0.220 0.500
Rh: 0.000 0.500 0.000
Rh: 0.293 0.293 0.500
Rh: 0.500 0.000 0.000
Rh: 0.707 0.707 0.500